Density functional theory data (GGA-PBE) for a geometry-optimized RbLiGa structure.

The total magnetic moment comes out at 0.00 μB/cell. Its crystal system is monoclinic. Its formation energy from the elements is -51 meV per atom. The calculation puts the total energy at -2.02 eV/atom.

The space group is Cm (No. 8) and the conventional cell measures 13.362, 4.538 and 6.146 Å, with angles of 90.00, 91.91 and 90.00 degrees. The distinct sites, in fractional coordinates, are Rb at (0.000, 0.000, 0.000), Rb at (0.062, 0.500, 0.496), Li at (0.271, 0.000, 0.766), Li at (0.304, 0.500, 0.461), Ga at (0.241, 0.500, 0.013) and Ga at (0.269, 0.000, 0.230).

Density functional theory data (GGA-PBE) for a geometry-optimized RbLiGa4 structure.

The total magnetic moment comes out at 0.00 μB/cell. Its crystal system is cubic. Its formation energy from the elements is 1 meV per atom. The calculation puts the total energy at -2.50 eV/atom.

The space group is F-43m (No. 216) and the conventional cell measures 8.191, 8.191 and 8.191 Å, with angles of 90.00, 90.00 and 90.00 degrees. The distinct sites, in fractional coordinates, are Rb at (0.000, 0.000, 0.000), Li at (0.250, 0.250, 0.750) and Ga at (0.124, 0.124, 0.376).

Density functional theory data (GGA-PBE) for a geometry-optimized RbLiGa structure.

The total magnetic moment comes out at 0.00 μB/cell. Its crystal system is monoclinic. Its formation energy from the elements is -86 meV per atom. The calculation puts the total energy at -2.06 eV/atom.

The space group is Pm (No. 6) and the conventional cell measures 5.353, 4.465 and 10.299 Å, with angles of 90.00, 92.45 and 90.00 degrees. The distinct sites, in fractional coordinates, are Rb at (0.000, 0.000, 0.000), Rb at (0.481, 0.500, 0.601), Li at (0.608, 0.500, 0.244), Li at (0.870, 0.000, 0.358), Ga at (0.119, 0.500, 0.293) and Ga at (0.359, 0.000, 0.309).

Density functional theory data (GGA-PBE) for a geometry-optimized RbLiGa structure.

The total magnetic moment comes out at 0.00 μB/cell. Its crystal system is monoclinic. Its formation energy from the elements is -85 meV per atom. The calculation puts the total energy at -2.05 eV/atom.

The space group is Cm (No. 8) and the conventional cell measures 7.838, 4.476 and 12.603 Å, with angles of 90.00, 100.84 and 90.00 degrees. The distinct sites, in fractional coordinates, are Rb at (0.000, 0.000, 0.000), Rb at (0.036, 0.500, 0.640), Li at (0.239, 0.500, 0.229), Li at (0.442, 0.000, 0.342), Ga at (0.118, 0.000, 0.368) and Ga at (0.305, 0.500, 0.439).

Density functional theory data (GGA-PBE) for a geometry-optimized RbLi3Ga structure.

The total magnetic moment comes out at 0.00 μB/cell. Its crystal system is cubic. Its formation energy from the elements is 27 meV per atom. The calculation puts the total energy at -1.92 eV/atom.

The space group is Pm-3m (No. 221) and the conventional cell measures 5.281, 5.281 and 5.281 Å, with angles of 90.00, 90.00 and 90.00 degrees. The distinct sites, in fractional coordinates, are Rb at (0.000, 0.000, 0.000), Li at (0.000, 0.500, 0.500) and Ga at (0.500, 0.500, 0.500).

Density functional theory data (GGA-PBE) for a geometry-optimized RbLiGa structure.

The total magnetic moment comes out at 0.00 μB/cell. Its crystal system is monoclinic. Its formation energy from the elements is -33 meV per atom. The calculation puts the total energy at -2.00 eV/atom.

The space group is Cm (No. 8) and the conventional cell measures 7.477, 8.059 and 7.266 Å, with angles of 90.00, 120.83 and 90.00 degrees. The distinct sites, in fractional coordinates, are Rb at (0.000, 0.249, 0.000), Li at (0.002, 0.323, 0.500), Ga at (0.168, 0.000, 0.501) and Ga at (0.335, 0.500, 0.499).

Density functional theory data (GGA-PBE) for a geometry-optimized RbLiGa2Rh structure.

The total magnetic moment comes out at 0.00 μB/cell. Its crystal system is tetragonal. Its formation energy from the elements is -272 meV per atom. The calculation puts the total energy at -3.53 eV/atom.

The space group is P4/mmm (No. 123) and the conventional cell measures 4.840, 4.840 and 5.222 Å, with angles of 90.00, 90.00 and 90.00 degrees. The distinct sites, in fractional coordinates, are Rb at (0.000, 0.000, 0.000), Li at (0.500, 0.500, 0.000), Ga at (0.000, 0.500, 0.500) and Rh at (0.500, 0.500, 0.500).

Density functional theory data (GGA-PBE) for a geometry-optimized Rb2LiGaSb structure.

The total magnetic moment comes out at 0.00 μB/cell. Its crystal system is tetragonal. The calculation puts the total energy at -2.07 eV/atom. The value obtained for the formation energy (no corrections) is 0.1267 eV per atom.

The space group is P4/mmm (No. 123) and the conventional cell measures 6.917, 6.917 and 5.358 Å, with angles of 90.00, 90.00 and 90.00 degrees. The distinct sites, in fractional coordinates, are Rb at (0.000, 0.500, 0.000), Li at (0.000, 0.000, 0.500), Ga at (0.500, 0.500, 0.000) and Sb at (0.500, 0.500, 0.500).

Density functional theory data (GGA-PBE) for a geometry-optimized RbLiGaSb2 structure.

The total magnetic moment comes out at 0.00 μB/cell. Its crystal system is tetragonal. The calculation puts the total energy at -3.17 eV/atom. The value obtained for the formation energy (no corrections) is -0.3360 eV per atom.

The space group is I-4m2 (No. 119) and the conventional cell measures 4.938, 4.938 and 12.057 Å, with angles of 90.00, 90.00 and 90.00 degrees. The distinct sites, in fractional coordinates, are Rb at (0.000, 0.000, 0.000), Li at (0.000, 0.500, 0.250), Ga at (0.000, 0.500, 0.750) and Sb at (0.000, 0.000, 0.373).

Density functional theory data (GGA-PBE) for a geometry-optimized RbLi2ScGa structure.

The total magnetic moment comes out at 1.23 μB/cell. Its crystal system is tetragonal. Its formation energy from the elements is 187 meV per atom. The calculation puts the total energy at -2.64 eV/atom.

The space group is P4/mmm (No. 123) and the conventional cell measures 5.374, 5.374 and 5.332 Å, with angles of 90.00, 90.00 and 90.00 degrees. The distinct sites, in fractional coordinates, are Rb at (0.000, 0.000, 0.000), Li at (0.000, 0.500, 0.500), Sc at (0.500, 0.500, 0.000) and Ga at (0.500, 0.500, 0.500).

Density functional theory data (GGA-PBE) for a geometry-optimized RbLiGaTe2 structure.

The total magnetic moment comes out at 0.00 μB/cell. Its crystal system is orthorhombic. The calculation puts the total energy at -3.01 eV/atom. The value obtained for the formation energy (no corrections) is -0.5754 eV per atom.

The space group is Cmme (No. 67) and the conventional cell measures 5.978, 15.987 and 7.060 Å, with angles of 90.00, 90.00 and 90.00 degrees. The distinct sites, in fractional coordinates, are Rb at (0.000, 0.250, 0.226), Li at (0.250, 0.000, 0.500), Ga at (0.000, 0.000, 0.000) and Te at (0.000, 0.115, 0.721).

Density functional theory data (GGA-PBE) for a geometry-optimized Rb2LiGa2Te4 structure.

The total magnetic moment comes out at 0.00 μB/cell. Its crystal system is monoclinic. The calculation puts the total energy at -3.18 eV/atom. The value obtained for the formation energy (no corrections) is -0.6838 eV per atom.

The space group is C2/m (No. 12) and the conventional cell measures 16.594, 4.743 and 8.462 Å, with angles of 90.00, 107.96 and 90.00 degrees. The distinct sites, in fractional coordinates, are Rb at (0.123, 0.000, 0.051), Li at (0.000, 0.000, 0.500), Ga at (0.167, 0.500, 0.486), Te at (0.017, 0.500, 0.269) and Te at (0.203, 0.000, 0.664).

Density functional theory data (GGA-PBE) for a geometry-optimized RbLiTl2Ga structure.

The total magnetic moment comes out at 0.00 μB/cell. Its crystal system is tetragonal. Its formation energy from the elements is 23 meV per atom. The calculation puts the total energy at -2.11 eV/atom.

The space group is P4/mmm (No. 123) and the conventional cell measures 5.749, 5.749 and 5.305 Å, with angles of 90.00, 90.00 and 90.00 degrees. The distinct sites, in fractional coordinates, are Rb at (0.000, 0.000, 0.000), Li at (0.500, 0.500, 0.000), Tl at (0.000, 0.500, 0.500) and Ga at (0.500, 0.500, 0.500).

Density functional theory data (GGA-PBE) for a geometry-optimized LiGaRe3 structure.

The total magnetic moment comes out at 0.00 μB/cell. Its crystal system is cubic. Its formation energy from the elements is 1424 meV per atom. The calculation puts the total energy at -7.03 eV/atom.

The space group is Pm-3m (No. 221) and the conventional cell measures 4.160, 4.160 and 4.160 Å, with angles of 90.00, 90.00 and 90.00 degrees. The distinct sites, in fractional coordinates, are Li at (0.000, 0.000, 0.000), Ga at (0.500, 0.500, 0.500) and Re at (0.000, 0.000, 0.500).

Density functional theory data (GGA-PBE) for a geometry-optimized LiGaRe2 structure.

The total magnetic moment comes out at 0.00 μB/cell. Its crystal system is tetragonal. Its formation energy from the elements is 479 meV per atom. The calculation puts the total energy at -6.98 eV/atom.

The space group is I-42d (No. 122) and the conventional cell measures 3.646, 3.646 and 18.762 Å, with angles of 90.00, 90.00 and 90.00 degrees. The distinct sites, in fractional coordinates, are Li at (0.000, 0.000, 0.000), Ga at (0.000, 0.000, 0.500) and Re at (0.249, 0.250, 0.125).

Density functional theory data (GGA-PBE) for a geometry-optimized LiGaRe3 structure.

The total magnetic moment comes out at 0.00 μB/cell. Its crystal system is cubic. Its formation energy from the elements is 2002 meV per atom. The calculation puts the total energy at -6.46 eV/atom.

The space group is Pm-3m (No. 221) and the conventional cell measures 4.560, 4.560 and 4.560 Å, with angles of 90.00, 90.00 and 90.00 degrees. The distinct sites, in fractional coordinates, are Li at (0.000, 0.000, 0.000), Ga at (0.500, 0.500, 0.500) and Re at (0.000, 0.500, 0.500).

Density functional theory data (GGA-PBE) for a geometry-optimized Li2Ga2Re structure.

The total magnetic moment comes out at 0.00 μB/cell. Its crystal system is tetragonal. Its formation energy from the elements is 34 meV per atom. The calculation puts the total energy at -4.43 eV/atom.

The space group is P4/mbm (No. 127) and the conventional cell measures 7.082, 7.082 and 2.734 Å, with angles of 90.00, 90.00 and 90.00 degrees. The distinct sites, in fractional coordinates, are Li at (0.155, 0.345, 0.000), Ga at (0.145, 0.645, 0.500) and Re at (0.000, 0.000, 0.500).

Density functional theory data (GGA-PBE) for a geometry-optimized Li2GaRe structure.

The total magnetic moment comes out at 0.00 μB/cell. Its crystal system is tetragonal. Its formation energy from the elements is 604 meV per atom. The calculation puts the total energy at -4.22 eV/atom.

The space group is I-42d (No. 122) and the conventional cell measures 6.817, 6.817 and 4.999 Å, with angles of 90.00, 90.00 and 90.00 degrees. The distinct sites, in fractional coordinates, are Li at (0.232, 0.750, 0.125), Ga at (0.000, 0.000, 0.000) and Re at (0.000, 0.000, 0.500).

Density functional theory data (GGA-PBE) for a geometry-optimized Li2Ga6Re structure.

The total magnetic moment comes out at 0.00 μB/cell. Its crystal system is trigonal. Its formation energy from the elements is 123 meV per atom. The calculation puts the total energy at -3.70 eV/atom.

The space group is P-31m (No. 162) and the conventional cell measures 5.1868, 5.1868 and 7.4923 Å, with angles of 90.00, 90.00 and 120.00 degrees. The distinct sites, in fractional coordinates, are Li at (0.3333, 0.6667, 0.0000), Ga at (0.0000, 0.4081, 0.6904) and Re at (0.0000, 0.0000, 0.5000).

Density functional theory data (GGA-PBE) for a geometry-optimized Li5Ga6Re structure.

The total magnetic moment comes out at 0.00 μB/cell. Its crystal system is monoclinic. Its formation energy from the elements is -215 meV per atom. The calculation puts the total energy at -3.56 eV/atom.

The space group is P2/m (No. 10) and the conventional cell measures 4.519, 5.848 and 6.997 Å, with angles of 90.00, 106.12 and 90.00 degrees. The distinct sites, in fractional coordinates, are Li at (0.000, 0.000, 0.000), Li at (0.362, 0.000, 0.646), Li at (0.384, 0.500, 0.680), Ga at (0.124, 0.257, 0.333), Ga at (0.500, 0.247, 0.000) and Re at (0.000, 0.500, 0.000).